A plane-wave DFT calculation with PBE was carried out for a geometry-optimized ScNb3F structure.

Summary:
- Relative energy among the computed polymorphs: 1805 meV/atom
- Energy relative to the elements, uncorrected: 1708 meV/atom
- N(E_F): 8.4 states/eV per cell
- Magnetization: 0.00 Bohr magnetons per cell

POSCAR file:
```
ScNb3F
1.0
-2.270 4.249 0.303
-1.178 -0.957 4.582
4.093 2.081 1.487
Sc F Nb
1 1 3
Direct
0.000 0.000 0.000 Sc
0.500 0.500 0.500 F
0.000 0.000 0.500 Nb
0.500 0.000 0.000 Nb
0.000 0.500 0.000 Nb
```